Record 1
The following is a DFT calculation (PBE) of a relaxed SrHg2Te3 crystal.

Computed properties:
As for the calculated volume: 32.1 A^3/atom. The calculation puts the total energy at -29.00 eV for the cell shown. For the density, the calculation gives 7.5 g cm⁻³.

extended XYZ file:
```
12
Lattice="-7.6507 1.6899 -2.5872 -8.1304 -0.2754 1.3793 0.4978 9.7164 4.8745" Properties=species:S:1:pos:R:3 pbc="T T T"
Hg -6.9641 3.0645 0.6761
Hg 0.2489 4.8582 2.4373
Hg -8.3191 8.0665 2.9905
Hg 0.0000 0.0000 0.0000
Te -5.2672 0.9482 -0.1672
Te -14.2879 8.6015 2.5337
Te -5.0669 4.8586 1.7945
Te -10.0160 10.1827 3.8339
Te -0.9954 2.5295 1.1329
Te -10.2164 6.2724 1.8721
Sr -11.6080 3.4807 0.3206
Sr -3.6752 7.6502 3.3460
```


Record 2
The following is a DFT calculation (PBE) of a relaxed GdTlFeSe3 crystal.

Computed properties:
The calculation puts the total magnetization at 4.0 μB per formula unit. For the energy relative to the lowest polymorph listed for this composition, the calculation gives 0.013 eV per atom. As for the calculated volume: 27.8 A^3/atom. The calculation puts the total energy at -62.86 eV for the cell shown. For the density, the calculation gives 6.5 g cm⁻³.

extended XYZ file:
```
12
Lattice="-4.1918 1.8205 -6.2695 -2.4243 -1.7930 -7.1485 -8.5352 -5.1961 4.1978" Properties=species:S:1:pos:R:3 pbc="T T T"
Fe -9.8863 -3.8826 -3.9193
Fe -5.2650 -1.2860 -5.3008
Gd -4.2676 -2.5981 2.0989
Gd 0.0000 0.0000 0.0000
Tl -8.0206 -3.8903 -0.1356
Tl -7.1306 -1.2782 -9.0846
Se -3.0915 -0.3627 -4.7258
Se -12.5581 -3.8715 -9.3380
Se -9.0176 -2.9538 -5.9906
Se -6.1337 -2.2147 -3.2296
Se -12.0598 -4.8059 -4.4944
Se -2.5932 -1.2971 0.1178
```


Record 3
The following is a DFT calculation (PBE) of a relaxed SnPtSO crystal.

Computed properties:
The calculation puts the total magnetization at 0.0 μB per formula unit. For the energy relative to the lowest polymorph listed for this composition, the calculation gives 0.612 eV per atom. As for the calculated volume: 18.3 A^3/atom. The calculation puts the total energy at -39.02 eV for the cell shown. For the density, the calculation gives 8.2 g cm⁻³.

extended XYZ file:
```
8
Lattice="-1.2775 -0.8984 -3.9538 1.8547 -3.8158 0.2678 -6.8573 -3.1278 2.9263" Properties=species:S:1:pos:R:3 pbc="T T T"
O -3.9231 -3.1916 -1.4353
O -2.3570 -4.6503 0.6755
S -0.8871 -1.6490 -0.4814
S -5.3930 -6.1930 -0.2783
Pt -3.2643 -5.2220 -1.1868
Pt -3.0158 -2.6199 0.4271
Sn -0.8314 -4.1124 -2.2250
Sn -5.4486 -3.7296 1.4653
```


Record 4
The following is a DFT calculation (PBE) of a relaxed Li2Gd crystal.

Computed properties:
The calculation puts the total magnetization at 1.6 μB per formula unit. For the energy relative to the lowest polymorph listed for this composition, the calculation gives 0.661 eV per atom. As for the calculated volume: 28.4 A^3/atom. The calculation puts the total energy at -6.14 eV for the cell shown. For the density, the calculation gives 3.3 g cm⁻³.

extended XYZ file:
```
3
Lattice="2.3677 -3.1648 -2.9600 1.9708 -4.1245 1.8676 -2.0133 -4.3879 -1.0378" Properties=species:S:1:pos:R:3 pbc="T T T"
Li 0.5813 -2.9193 -0.5326
Li 1.7440 -8.7579 -1.5977
Gd 0.0000 0.0000 0.0000
```


Record 5
The following is a DFT calculation (PBE) of a relaxed ErSbMoI2 crystal.

Computed properties:
The calculation puts the total magnetization at 2.0 μB per formula unit. As for the calculated volume: 31.8 A^3/atom. The calculation puts the total energy at -24.82 eV for the cell shown. For the density, the calculation gives 6.7 g cm⁻³.

extended XYZ file:
```
5
Lattice="-3.4918 -2.1691 1.0148 0.9821 0.6486 -4.0673 5.3889 -8.7165 -0.0888" Properties=species:S:1:pos:R:3 pbc="T T T"
I 1.1472 -2.9698 -2.4005
I 1.6023 -7.0574 -0.7385
Er 4.1239 -7.7846 -2.4495
Sb 0.1250 -0.2022 -0.0021
Mo -1.2400 -2.4600 -0.6917
```


Record 6
The following is a DFT calculation (PBE) of a relaxed SrMg2Ir2 crystal.

Computed properties:
The calculation puts the total magnetization at 0.0 μB per formula unit. As for the calculated volume: 21.6 A^3/atom. The calculation puts the total energy at -23.80 eV for the cell shown. For the density, the calculation gives 8.0 g cm⁻³.

extended XYZ file:
```
5
Lattice="-2.2067 2.2067 5.5375 2.2067 -2.2067 5.5375 2.2067 2.2067 -5.5375" Properties=species:S:1:pos:R:3 pbc="T T T"
Mg 0.0000 2.2067 2.7688
Mg 2.2067 0.0000 2.7688
Ir 0.0000 0.0000 4.3143
Ir 0.0000 0.0000 6.7607
Sr 0.0000 0.0000 0.0000
```


Record 7
The following is a DFT calculation (PBE) of a relaxed CuHgMoIr crystal.

Computed properties:
The calculation puts the total magnetization at 0.2 μB per formula unit. For the energy relative to the lowest polymorph listed for this composition, the calculation gives 0.231 eV per atom. As for the calculated volume: 15.6 A^3/atom. The calculation puts the total energy at -21.34 eV for the cell shown. For the density, the calculation gives 14.7 g cm⁻³.

extended XYZ file:
```
4
Lattice="1.6545 -1.2126 3.9511 -1.1658 2.2211 3.6779 -2.6401 -1.9280 3.0219" Properties=species:S:1:pos:R:3 pbc="T T T"
Ir 0.0000 0.0000 0.0000
Hg -0.5378 -0.2299 2.6627
Mo -1.0757 -0.4598 5.3254
Cu -1.6135 -0.6897 7.9881
```


Record 8
The following is a DFT calculation (PBE) of a relaxed Lu3Mg4 crystal.

Computed properties:
The calculation puts the total magnetization at 0.0 μB per formula unit. For the energy relative to the lowest polymorph listed for this composition, the calculation gives 0.000 eV per atom. As for the calculated volume: 26.0 A^3/atom. The calculation puts the total energy at -39.76 eV for the cell shown. For the density, the calculation gives 5.7 g cm⁻³.

extended XYZ file:
```
14
Lattice="5.8070 6.7053 0.0000 -2.9035 8.3817 0.0000 0.0000 0.0000 5.3370" Properties=species:S:1:pos:R:3 pbc="T T T"
Mg -0.9765 4.9887 2.6685
Mg 5.7678 6.6926 0.0000
Mg 2.9340 5.0013 0.0000
Mg 0.0000 3.3526 0.0000
Mg 1.9052 3.3802 2.6685
Mg 4.8784 8.3942 2.6685
Mg 2.9121 11.7745 0.0000
Mg 1.9356 13.4106 2.6685
Lu -1.0021 8.2993 2.6685
Lu 2.9378 8.4639 0.0000
Lu 1.8815 10.1289 2.6685
Lu -0.0885 10.0463 0.0000
Lu 0.0542 6.6343 0.0000
Lu 2.0241 6.7167 2.6685
```